## NaY2ZnCo (GGA-PBE)

Data for crystalline NaY2ZnCo at its relaxed geometry.

energy of formation = 0.02 eV/atom
ρ = 4.2 g cm⁻³
E = -4.51 eV/atom

Cell: 5.1351 5.1351 4.8352 Å, 90.00 90.00 90.00°
With the nearest neighbours (Å) after each atom.
Space group P4/mmm (No. 123)
Symmetry-distinct sites (fractional):
Na (0.0000, 0.0000, 0.0000) [1 per cell]  8 Y 3.53, 4 Zn 3.63
Y (0.0000, 0.5000, 0.5000) [2 per cell]  2 Co 2.57
Zn (0.5000, 0.5000, 0.0000) [1 per cell]  2 Co 2.42
Co (0.5000, 0.5000, 0.5000) [1 per cell]  2 Zn 2.42, 4 Y 2.57

***

## Y6Ho2TmTh3 (GGA-PBE)

Data for crystalline Y6Ho2TmTh3 at its relaxed geometry.

energy of formation = 0.03 eV/atom
ρ = 7.5 g cm⁻³
E = -6.19 eV/atom

Cell: 6.1863 10.7088 11.7452 Å, 90.00 100.13 90.00°
With the nearest neighbours (Å) after each atom.
Space group C2/m (No. 12)
Symmetry-distinct sites (fractional):
Y (0.2491, 0.0000, 0.2470) [4 per cell]  3 Th 3.52, 6 Y 3.57, 2 Ho 3.58, 1 Tm 3.58
Y (0.2494, 0.3334, 0.2473) [8 per cell]  3 Th 3.52, 6 Y 3.57, 1 Tm 3.57, 2 Ho 3.58
Ho (0.0000, 0.3334, 0.5000) [4 per cell]  3 Ho 3.57, 3 Tm 3.57, 6 Y 3.58
Tm (0.0000, 0.0000, 0.5000) [2 per cell]  6 Ho 3.57, 6 Y 3.57-3.58
Th (0.0000, 0.1669, 0.0000) [4 per cell]  6 Y 3.52, 6 Th 3.57
Th (0.0000, 0.5000, 0.0000) [2 per cell]  6 Y 3.52, 6 Th 3.57